# 1
Here is a relaxed MgCoCu2 crystal from Alexandria. Energies are from PBE-GGA.

Output
Magnetic moment ... 0.346 μB/atom
Electronic total energy ... -16.44 eV per cell

a = 2.7203 Å, b = 2.7203 Å, c = 7.1506 Å
α = 90.00°, β = 90.00°, γ = 90.02°
Site moments in Bohr magnetons follow the coordinates.
Fractional positions:
Cu 0.5000 0.5000 0.2261  -0.01
Cu 0.0000 0.0000 0.9956  0.06
Co 0.5000 0.5000 0.7727  1.43
Mg 0.0000 0.0000 0.5056  -0.01


# 2
Here is a relaxed In2FeP crystal from Alexandria. Energies are from PBE-GGA.

Output
Magnetic moment ... 0.651 μB/atom
Electronic total energy ... -17.41 eV per cell

a = 4.8538 Å, b = 4.8538 Å, c = 4.8603 Å
α = 72.10°, β = 72.10°, γ = 45.37°
Site moments in Bohr magnetons follow the coordinates.
Fractional positions:
In 0.4984 0.4984 0.4950  -0.04
In 0.0016 0.0016 0.0050  -0.04
Fe 0.2500 0.2500 0.2500  2.66
P 0.7500 0.7500 0.7500  0.02


# 3
Here is a relaxed Li2DySc crystal from Alexandria. Energies are from PBE-GGA.

Output
Magnetic moment ... 0.000 μB/atom
ΔE to the lowest computed polymorph ... 0.0000 eV/atom

a = 3.5916 Å, b = 3.5916 Å, c = 7.1865 Å
α = 90.00°, β = 90.00°, γ = 90.00°
Fractional positions:
Li 0.0000 0.0000 0.2663
Li 0.0000 0.0000 0.7337
Sc 0.5000 0.5000 0.5000
Dy 0.5000 0.5000 0.0000


# 4
Here is a relaxed MnTc2As2 crystal from Alexandria. Energies are from PBE-GGA.

Output
Magnetic moment ... 0.766 μB/atom
Electronic total energy ... -77.59 eV per cell

a = 7.0859 Å, b = 7.0859 Å, c = 3.0188 Å
α = 90.00°, β = 90.00°, γ = 90.00°
Site moments in Bohr magnetons follow the coordinates.
Fractional positions:
Tc 0.6461 0.8539 0.5000  0.09
Tc 0.3539 0.1461 0.5000  0.09
As 0.3481 0.8481 0.0000  -0.02
Mn 0.5000 0.5000 0.0000  3.57
Tc 0.8539 0.3539 0.5000  0.09
Tc 0.1461 0.6461 0.5000  0.09
As 0.1519 0.3481 0.0000  -0.01
As 0.6519 0.1519 0.0000  -0.02
Mn 0.0000 0.0000 0.0000  3.57
As 0.8481 0.6519 0.0000  -0.01